Ho4Zn5Ge6 after structural relaxation, computed with PBE.

Results
**Total magnetization**: 0.00 μB/atom
**Energy of formation from the pure elements**: -546 meV/atom

The structure in CIF format:
```
data_Ho4Zn5Ge6
_symmetry_space_group_name_H-M 'C m c 21'
_symmetry_Int_Tables_number 36
_cell_length_a 4.2353
_cell_length_b 18.5296
_cell_length_c 15.2807
_cell_angle_alpha 90.00
_cell_angle_beta 90.00
_cell_angle_gamma 90.00
loop_
_symmetry_equiv_pos_as_xyz
'x,y,z'
'-x,-y,z+1/2'
'-x,y,z'
'x,-y,z+1/2'
'x+1/2,y+1/2,z'
'-x+1/2,-y+1/2,z+1/2'
'-x+1/2,y+1/2,z'
'x+1/2,-y+1/2,z+1/2'
loop_
_atom_site_label
_atom_site_type_symbol
_atom_site_fract_x
_atom_site_fract_y
_atom_site_fract_z
Ho1 Ho 0.0000 0.0190 0.0000
Ho2 Ho 0.0000 0.0325 0.2634
Ho3 Ho 0.0000 0.1677 0.8036
Ho4 Ho 0.0000 0.1754 0.4450
Zn1 Zn 0.0000 0.1512 0.1274
Zn2 Zn 0.0000 0.3005 0.1246
Zn3 Zn 0.0000 0.3451 0.7749
Zn4 Zn 0.0000 0.3498 0.4815
Zn5 Zn 0.0000 0.4342 0.1864
Ge1 Ge 0.0000 0.1119 0.6173
Ge2 Ge 0.0000 0.2228 0.9861
Ge3 Ge 0.0000 0.2278 0.2657
Ge4 Ge 0.0000 0.4311 0.9087
Ge5 Ge 0.0000 0.4334 0.6300
Ge6 Ge 0.0000 0.4400 0.3549
```